# 1
Density functional theory data (PBE-GGA) for a geometry-optimized OsSe3N structure.

a b c (Å): 4.265 4.265 4.265
angles (deg): 90.00 90.00 90.00
Atoms (fractional coordinates):
Os: 0.000 0.000 0.000
Se: 0.000 0.500 0.500
Se: 0.500 0.000 0.500
Se: 0.500 0.500 0.000
N: 0.500 0.500 0.500

Summary:
* raw formation energy: 1396.4 meV per atom
* calculated volume: 15.5 Å³ per atom

***

# 2
Density functional theory data (PBE-GGA) for a geometry-optimized OsSe2N2 structure.

a b c (Å): 3.641 3.641 7.125
angles (deg): 90.00 90.00 90.00
Atoms (fractional coordinates):
Os: 0.000 0.000 0.000
Se: 0.500 0.500 0.000
Se: 0.500 0.500 0.500
N: 0.000 0.500 0.500
N: 0.500 0.000 0.500

Summary:
* raw formation energy: 2110.9 meV per atom
* calculated volume: 18.9 Å³ per atom

***

# 3
Density functional theory data (PBE-GGA) for a geometry-optimized OsSe2N structure.

a b c (Å): 6.357 6.357 6.357
angles (deg): 129.69 129.69 73.90
Atoms (fractional coordinates):
Os: 0.000 0.000 0.000
Os: 0.750 0.250 0.500
Se: 0.150 0.625 0.025
Se: 0.375 0.400 0.525
Se: 0.600 0.125 0.975
Se: 0.875 0.850 0.475
N: 0.250 0.750 0.500
N: 0.500 0.500 0.000

Summary:
* raw formation energy: 1078.6 meV per atom
* calculated volume: 18.5 Å³ per atom

***

# 4
Density functional theory data (PBE-GGA) for a geometry-optimized OsSe2N structure.

a b c (Å): 6.311 6.311 6.311
angles (deg): 35.23 35.23 35.23
Atoms (fractional coordinates):
Os: 0.000 0.000 0.000
Se: 0.401 0.401 0.401
Se: 0.599 0.599 0.599
N: 0.500 0.500 0.500

Summary:
* raw formation energy: 837.2 meV per atom
* calculated volume: 18.7 Å³ per atom

***

# 5
Density functional theory data (PBE-GGA) for a geometry-optimized OsSe2N2 structure.

a b c (Å): 3.784 3.784 5.721
angles (deg): 90.00 90.00 90.00
Atoms (fractional coordinates):
Os: 0.000 0.000 0.000
Se: 0.000 0.000 0.500
Se: 0.500 0.500 0.500
N: 0.000 0.500 0.000
N: 0.500 0.000 0.000

Summary:
* raw formation energy: 695.3 meV per atom
* calculated volume: 16.4 Å³ per atom

***

# 6
Density functional theory data (PBE-GGA) for a geometry-optimized Os3SeN structure.

a b c (Å): 4.108 4.108 4.108
angles (deg): 90.00 90.00 90.00
Atoms (fractional coordinates):
Os: 0.000 0.000 0.500
Os: 0.000 0.500 0.000
Os: 0.500 0.000 0.000
Se: 0.500 0.500 0.500
N: 0.000 0.000 0.000

Summary:
* raw formation energy: 1108.4 meV per atom
* calculated volume: 13.9 Å³ per atom

***

# 7
Density functional theory data (PBE-GGA) for a geometry-optimized OsSe2N2 structure.

a b c (Å): 3.745 3.745 8.096
angles (deg): 90.00 90.00 90.00
Atoms (fractional coordinates):
Os: 0.000 0.000 0.000
Se: 0.000 0.500 0.500
Se: 0.500 0.000 0.500
N: 0.000 0.500 0.000
N: 0.500 0.000 0.000

Summary:
* raw formation energy: 858.6 meV per atom
* calculated volume: 22.7 Å³ per atom

***

# 8
Density functional theory data (PBE-GGA) for a geometry-optimized OsSe2N structure.

a b c (Å): 7.979 7.979 7.979
angles (deg): 21.73 21.73 21.73
Atoms (fractional coordinates):
Os: 0.000 0.000 0.000
Se: 0.102 0.102 0.102
Se: 0.898 0.898 0.898
N: 0.500 0.500 0.500

Summary:
* raw formation energy: 1349.6 meV per atom
* calculated volume: 15.3 Å³ per atom

***

# 9
Density functional theory data (PBE-GGA) for a geometry-optimized OsSe3N structure.

a b c (Å): 4.823 4.823 4.823
angles (deg): 90.00 90.00 90.00
Atoms (fractional coordinates):
Os: 0.000 0.000 0.000
Se: 0.000 0.000 0.500
Se: 0.000 0.500 0.000
Se: 0.500 0.000 0.000
N: 0.500 0.500 0.500

Summary:
* raw formation energy: 1799.9 meV per atom
* calculated volume: 22.4 Å³ per atom

***

# 10
Density functional theory data (PBE-GGA) for a geometry-optimized OsSe2N2 structure.

a b c (Å): 5.084 5.084 3.664
angles (deg): 90.00 90.00 90.00
Atoms (fractional coordinates):
Os: 0.000 0.000 0.000
Se: 0.000 0.500 0.000
Se: 0.500 0.000 0.000
N: 0.000 0.000 0.500
N: 0.500 0.500 0.500

Summary:
* raw formation energy: 1509.8 meV per atom
* calculated volume: 18.9 Å³ per atom

***

# 11
Density functional theory data (PBE-GGA) for a geometry-optimized OsSe2N2 structure.

a b c (Å): 4.761 4.761 4.761
angles (deg): 122.10 122.10 86.40
Atoms (fractional coordinates):
Os: 0.000 0.000 0.000
Se: 0.250 0.750 0.500
Se: 0.750 0.250 0.500
N: 0.285 0.285 0.000
N: 0.715 0.715 0.000

Summary:
* raw formation energy: 1574.4 meV per atom
* calculated volume: 14.8 Å³ per atom

***

# 12
Density functional theory data (PBE-GGA) for a geometry-optimized SiOsSeN2 structure.

a b c (Å): 3.817 3.817 5.376
angles (deg): 90.00 90.00 90.00
Atoms (fractional coordinates):
Si: 0.000 0.000 0.000
Os: 0.500 0.500 0.500
Se: 0.500 0.500 0.000
N: 0.000 0.500 0.500
N: 0.500 0.000 0.500

Summary:
* raw formation energy: 788.1 meV per atom
* calculated volume: 15.7 Å³ per atom